Entry 1:
VASP calculation (PBE) on crystalline SiPb at its relaxed geometry.

a = 4.3861 Å, b = 4.3861 Å, c = 10.1025 Å
α = 90.00°, β = 90.00°, γ = 90.00°
Last column: nearest neighbours and their distance in Å.
Space group I4_1/amd (No. 141, origin choice 2)
Asymmetric unit:
Si: 0.0000 0.2500 0.3750  8 Pb 3.10-3.34, 4 Si 3.34
Pb: 0.0000 0.2500 0.8750  8 Si 3.10-3.34, 4 Pb 3.34

Results
Raw formation energy (eV/f.u.): 1.187

Entry 2:
VASP calculation (PBE) on crystalline CaBiRh at its relaxed geometry.

a = 4.7612 Å, b = 4.7612 Å, c = 3.5956 Å
α = 90.00°, β = 90.00°, γ = 120.00°
Last column: nearest neighbours and their distance in Å.
Space group P-6m2 (No. 187)
Asymmetric unit:
Ca: 0.0000 0.0000 0.0000  6 Bi 3.28, 6 Rh 3.28, 2 Ca 3.60
Bi: 0.6667 0.3333 0.5000  3 Rh 2.75
Rh: 0.3333 0.6667 0.5000  3 Bi 2.75

Results
Energy of formation from the pure elements (eV per atom): -0.468

Entry 3:
VASP calculation (PBE) on crystalline CdFe5 at its relaxed geometry.

a = 9.2780 Å, b = 2.8963 Å, c = 6.2029 Å
α = 90.00°, β = 108.83°, γ = 90.00°
Last column: nearest neighbours and their distance in Å.
Space group C2/m (No. 12)
Asymmetric unit:
Cd: 0.0000 0.0000 0.0000  10 Fe 2.69-2.83, 2 Cd 2.90
Fe: 0.0000 0.0000 0.5000  8 Fe 2.51-2.55
Fe: 0.1704 0.5000 0.3559  6 Fe 2.40-2.51, 2 Cd 2.69
Fe: 0.1782 0.5000 0.8120  6 Fe 2.47-2.70, 2 Cd 2.73

Results
Energy of formation from the pure elements (eV per atom): 0.205

For each record above, in turn, the calculated calculated volume values are 194; 71; 158 Å³/cell.